Below is a relaxed Tb4Er6Th crystal, with properties calculated at the GGA-PBE level.

Values from the calculation:
The value obtained for the total energy is -4.37 eV/atom. The total moment comes out at 0.00 μB/cell. As for the relative energy among the computed polymorphs: 341 meV per atom. Its space-group type is I-42m. The density of states at the Fermi level is 15.99 states/eV/cell.

a b c (Å): 7.6090 7.6090 8.4082
angles (deg): 116.90 116.90 90.00
Last column: nearest neighbours and their distance in Å.
Sites, in units of the cell vectors:
1 Tb 0.0978 0.7527 0.8505  3 Er 2.98-3.23, 2 Tb 3.26
2 Tb 0.9022 0.9022 0.1495  3 Er 2.98-3.23, 2 Tb 3.26
3 Tb 0.7527 0.0978 0.8505  3 Er 2.98-3.23, 2 Tb 3.26
4 Tb 0.2473 0.2473 0.1495  3 Er 2.98-3.23, 2 Tb 3.26
5 Er 0.9278 0.4373 0.3651  4 Tb 3.23-3.59, 1 Th 3.54, 2 Er 3.58
6 Er 0.4373 0.9278 0.3651  4 Tb 3.23-3.59, 1 Th 3.54, 2 Er 3.58
7 Er 0.5627 0.5627 0.6349  4 Tb 3.23-3.59, 1 Th 3.54, 2 Er 3.58
8 Er 0.0000 0.5000 0.0000  4 Tb 2.98
9 Er 0.0722 0.0722 0.6349  4 Tb 3.23-3.59, 1 Th 3.54, 2 Er 3.58
10 Er 0.5000 0.0000 0.0000  4 Tb 2.98
11 Th 0.5000 0.5000 0.0000  8 Er 3.54-3.80, 4 Tb 3.65

=====

Below is a relaxed Tb5Er3Th2 crystal, with properties calculated at the GGA-PBE level.

Values from the calculation:
The value obtained for the total energy is -4.95 eV/atom. The total moment comes out at 0.00 μB/cell. Its space-group type is C2/c. The density of states at the Fermi level is 30.11 states/eV/cell.

a b c (Å): 8.9853 8.9949 11.1326
angles (deg): 121.47 121.45 72.99
Last column: nearest neighbours and their distance in Å.
Sites, in units of the cell vectors:
1 Tb 0.2789 0.5289 0.0577  1 Tb 3.23, 4 Er 3.34-3.46, 2 Th 3.53
2 Tb 0.7211 0.4711 0.9423  1 Tb 3.23, 4 Er 3.34-3.46, 2 Th 3.53
3 Tb 0.0275 0.7775 0.5550  5 Er 3.21-3.49, 2 Th 3.56
4 Tb 0.5305 0.2805 0.5610  1 Tb 3.23, 4 Th 3.30-3.54, 2 Er 3.47
5 Tb 0.9725 0.2225 0.4450  5 Er 3.21-3.49, 2 Th 3.56
6 Tb 0.4695 0.7195 0.4390  1 Tb 3.23, 4 Th 3.30-3.54, 2 Er 3.47
7 Tb 0.8824 0.6280 0.7594  2 Th 3.33-3.34, 2 Er 3.38-3.40, 1 Tb 3.66
8 Tb 0.1176 0.3720 0.2406  2 Th 3.33-3.34, 2 Er 3.38-3.40, 1 Tb 3.66
9 Tb 0.3770 0.1314 0.7594  2 Th 3.33-3.34, 2 Er 3.38-3.40, 1 Tb 3.66
10 Tb 0.6230 0.8686 0.2406  2 Th 3.33-3.34, 2 Er 3.38-3.40, 1 Tb 3.66
11 Er 0.2169 0.9669 0.9338  1 Tb 3.21, 4 Th 3.30-3.50, 2 Er 3.43
12 Er 0.7831 0.0331 0.0662  1 Tb 3.21, 4 Th 3.30-3.50, 2 Er 3.43
13 Er 0.7273 0.4769 0.2469  1 Th 3.15, 7 Tb 3.34-3.49, 1 Er 3.43
14 Er 0.2727 0.5231 0.7531  1 Th 3.15, 7 Tb 3.34-3.49, 1 Er 3.43
15 Er 0.0196 0.7700 0.2469  1 Th 3.15, 7 Tb 3.34-3.49, 1 Er 3.43
16 Er 0.9804 0.2300 0.7531  1 Th 3.15, 7 Tb 3.34-3.49, 1 Er 3.43
17 Th 0.7620 0.0122 0.7530  3 Er 3.15-3.50, 4 Tb 3.30-3.53
18 Th 0.2380 0.9878 0.2470  3 Er 3.15-3.50, 4 Tb 3.30-3.53
19 Th 0.4910 0.7408 0.7530  3 Er 3.15-3.50, 4 Tb 3.30-3.53
20 Th 0.5090 0.2592 0.2470  3 Er 3.15-3.50, 4 Tb 3.30-3.53

=====

Below is a relaxed Tb5Er2Th4 crystal, with properties calculated at the GGA-PBE level.

Values from the calculation:
The value obtained for the total energy is -5.61 eV/atom. The total moment comes out at 0.00 μB/cell. As for the relative energy among the computed polymorphs: 0 meV per atom. Its space-group type is C2/m. The density of states at the Fermi level is 16.03 states/eV/cell.

a b c (Å): 3.5763 8.6822 11.8283
angles (deg): 104.48 98.70 90.00
Last column: nearest neighbours and their distance in Å.
Sites, in units of the cell vectors:
1 Tb 0.1368 0.0955 0.2736  3 Th 3.50-3.52, 7 Tb 3.57-3.62, 2 Er 3.66
2 Tb 0.8632 0.9045 0.7264  3 Th 3.50-3.52, 7 Tb 3.57-3.62, 2 Er 3.66
3 Tb 0.2263 0.8108 0.4526  3 Th 3.50-3.51, 7 Tb 3.58-3.66, 2 Er 3.59
4 Tb 0.5000 0.0000 0.0000  4 Th 3.56, 6 Tb 3.57-3.58, 2 Er 3.59
5 Tb 0.7737 0.1892 0.5474  3 Th 3.50-3.51, 7 Tb 3.58-3.66, 2 Er 3.59
6 Er 0.5889 0.7174 0.1778  5 Th 3.47-3.55, 2 Er 3.58, 5 Tb 3.59-3.66
7 Er 0.4111 0.2826 0.8222  5 Th 3.47-3.55, 2 Er 3.58, 5 Tb 3.59-3.66
8 Th 0.6822 0.4521 0.3643  5 Tb 3.50-3.51, 1 Er 3.55, 6 Th 3.55-3.58
9 Th 0.0464 0.3642 0.0929  4 Er 3.47-3.55, 3 Tb 3.52-3.56, 5 Th 3.55-3.59
10 Th 0.3178 0.5479 0.6357  5 Tb 3.50-3.51, 1 Er 3.55, 6 Th 3.55-3.58
11 Th 0.9536 0.6358 0.9071  4 Er 3.47-3.55, 3 Tb 3.52-3.56, 5 Th 3.55-3.59

=====

Below is a relaxed Tb5Er2Th5 crystal, with properties calculated at the GGA-PBE level.

Values from the calculation:
The value obtained for the total energy is -5.73 eV/atom. The total moment comes out at 0.00 μB/cell. Its space-group type is C2/m. The density of states at the Fermi level is 18.05 states/eV/cell.

a b c (Å): 5.0415 7.9252 10.7288
angles (deg): 72.72 76.41 71.45
Last column: nearest neighbours and their distance in Å.
Sites, in units of the cell vectors:
1 Tb 0.5000 0.5000 0.5000  6 Th 3.55-3.57, 4 Er 3.57, 2 Tb 3.59
2 Tb 0.3318 0.3319 0.0045  4 Tb 3.50-3.60, 3 Er 3.53-3.60, 5 Th 3.55-3.64
3 Tb 0.4158 0.9202 0.2481  3 Tb 3.50-3.60, 7 Th 3.52-3.61, 2 Er 3.57
4 Tb 0.5842 0.0798 0.7519  3 Tb 3.50-3.60, 7 Th 3.52-3.61, 2 Er 3.57
5 Tb 0.6682 0.6681 0.9955  4 Tb 3.50-3.60, 3 Er 3.53-3.60, 5 Th 3.55-3.64
6 Er 0.9164 0.4168 0.7503  7 Tb 3.53-3.60, 5 Th 3.55-3.60
7 Er 0.0836 0.5832 0.2497  7 Tb 3.53-3.60, 5 Th 3.55-3.60
8 Th 0.8311 0.8347 0.5031  5 Th 3.52-3.53, 5 Tb 3.52-3.61, 2 Er 3.55-3.60
9 Th 0.2499 0.7543 0.7458  4 Th 3.52-3.58, 6 Tb 3.52-3.64, 2 Er 3.57
10 Th 0.7501 0.2457 0.2542  4 Th 3.52-3.58, 6 Tb 3.52-3.64, 2 Er 3.57
11 Th 0.1689 0.1653 0.4969  5 Th 3.52-3.53, 5 Tb 3.52-3.61, 2 Er 3.55-3.60
12 Th 0.0000 0.0000 0.0000  8 Tb 3.55-3.56, 2 Er 3.56, 2 Th 3.58

=====

> Which value of total moment does entry 3 give?

0.00 μB/cell

=====

Please write out number 4 again, unchanged.
Below is a relaxed Tb5Er2Th5 crystal, with properties calculated at the GGA-PBE level.

Values from the calculation:
The value obtained for the total energy is -5.73 eV/atom. The total moment comes out at 0.00 μB/cell. Its space-group type is C2/m. The density of states at the Fermi level is 18.05 states/eV/cell.

a b c (Å): 5.0415 7.9252 10.7288
angles (deg): 72.72 76.41 71.45
Last column: nearest neighbours and their distance in Å.
Sites, in units of the cell vectors:
1 Tb 0.5000 0.5000 0.5000  6 Th 3.55-3.57, 4 Er 3.57, 2 Tb 3.59
2 Tb 0.3318 0.3319 0.0045  4 Tb 3.50-3.60, 3 Er 3.53-3.60, 5 Th 3.55-3.64
3 Tb 0.4158 0.9202 0.2481  3 Tb 3.50-3.60, 7 Th 3.52-3.61, 2 Er 3.57
4 Tb 0.5842 0.0798 0.7519  3 Tb 3.50-3.60, 7 Th 3.52-3.61, 2 Er 3.57
5 Tb 0.6682 0.6681 0.9955  4 Tb 3.50-3.60, 3 Er 3.53-3.60, 5 Th 3.55-3.64
6 Er 0.9164 0.4168 0.7503  7 Tb 3.53-3.60, 5 Th 3.55-3.60
7 Er 0.0836 0.5832 0.2497  7 Tb 3.53-3.60, 5 Th 3.55-3.60
8 Th 0.8311 0.8347 0.5031  5 Th 3.52-3.53, 5 Tb 3.52-3.61, 2 Er 3.55-3.60
9 Th 0.2499 0.7543 0.7458  4 Th 3.52-3.58, 6 Tb 3.52-3.64, 2 Er 3.57
10 Th 0.7501 0.2457 0.2542  4 Th 3.52-3.58, 6 Tb 3.52-3.64, 2 Er 3.57
11 Th 0.1689 0.1653 0.4969  5 Th 3.52-3.53, 5 Tb 3.52-3.61, 2 Er 3.55-3.60
12 Th 0.0000 0.0000 0.0000  8 Tb 3.55-3.56, 2 Er 3.56, 2 Th 3.58

=====

> What is the formula in the third record?

Tb5Er2Th4